Record 1
SrTeSe2N | PBE-GGA | relaxed

```
5
Lattice="5.502 0.000 0.000 0.000 5.502 0.000 0.000 0.000 4.080" Properties=species:S:1:pos:R:3 pbc="T T T"
Sr 2.751 2.751 2.040
Te 0.000 0.000 0.000
Se 0.000 2.751 0.000
Se 2.751 0.000 0.000
N 0.000 0.000 2.040
```

SG	P4/mmm (123)
volume	24.7	Å³ per atom
ΔE to the lowest computed polymorph	0.000	eV/f.u.
E	-20.7	eV for the cell shown
formation energy from raw total energies	-0.113	eV/atom

=====

Record 2
AcP2H2Pt6 | PBE-GGA | relaxed

```
11
Lattice="-2.928 -4.410 -2.200 2.943 -3.629 -4.116 -0.370 -2.630 5.766" Properties=species:S:1:pos:R:3 pbc="T T T"
Ac -1.649 -3.520 1.783
P -1.507 -7.020 1.141
P 1.153 -3.649 -1.691
H 0.880 -4.873 1.147
H -1.235 -5.796 -1.697
Pt 0.736 -6.957 1.757
Pt 0.374 -1.510 -1.206
Pt 1.986 -5.000 -0.091
Pt -0.728 -9.159 0.656
Pt -2.340 -5.669 -0.459
Pt -1.090 -3.712 -2.307
```

SG	P-1 (2)
volume	16.5	Å³ per atom
E	-64.0	eV for the cell shown

=====

Record 3
Cs2CdBr4 | PBE-GGA | relaxed

```
28
Lattice="10.391 0.000 0.000 0.000 8.051 0.056 0.000 7.655 14.728" Properties=species:S:1:pos:R:3 pbc="T T T"
Cs 6.431 9.695 8.804
Cs 3.961 6.011 5.979
Cs 9.156 5.867 1.440
Cs 1.235 9.839 13.344
Cs 5.145 1.700 2.629
Cs 5.246 14.006 12.154
Cs 0.050 5.527 9.994
Cs 10.341 10.179 4.790
Cd 7.487 9.715 13.562
Cd 2.905 5.991 1.222
Cd 8.100 5.887 6.198
Cd 2.291 9.819 8.586
Br 4.885 9.493 13.659
Br 5.506 6.213 1.125
Br 0.311 5.666 6.295
Br 10.081 10.040 8.489
Br 8.668 1.553 1.138
Br 1.723 14.153 13.646
Br 6.919 5.380 8.502
Br 3.473 10.326 6.282
Br 8.409 12.075 12.823
Br 1.982 3.631 1.961
Br 7.178 8.248 5.458
Br 3.213 7.458 9.325
Br 8.343 8.060 11.686
Br 2.048 7.646 3.098
Br 7.244 4.232 4.322
Br 3.147 11.474 10.462
```

SG	P2_1/c (14)
volume	43.9	Å³ per atom
E	-77.3	eV for the cell shown
formation energy from raw total energies	-1.432	eV/atom

=====

Record 4
LiTlW2 | PBE-GGA | relaxed

```
4
Lattice="4.573 0.000 0.000 2.287 3.961 0.000 2.287 1.320 3.734" Properties=species:S:1:pos:R:3 pbc="T T T"
Li 4.573 2.640 1.867
Tl 6.860 3.961 2.801
W 0.000 0.000 0.000
W 2.287 1.320 0.934
```

SG	F-43m (216)
volume	16.9	Å³ per atom
ΔE to the lowest computed polymorph	0.923	eV/f.u.
E	-27.5	eV for the cell shown
ΔE_f	660	meV/atom

=====

Record 5
Ti2MnSbPt | PBE-GGA | relaxed

```
5
Lattice="-0.241 -3.847 2.152 -2.009 -1.989 -3.782 3.988 -1.109 -1.536" Properties=species:S:1:pos:R:3 pbc="T T T"
Sb -1.005 -0.995 -1.891
Mn 0.000 0.000 0.000
Pt 0.869 -3.473 -1.583
Ti 1.994 -0.555 -0.768
Ti -0.121 -1.924 1.076
```

SG	P4/mmm (123)
volume	18.4	Å³ per atom
E	-34.2	eV for the cell shown
formation energy from raw total energies	0.192	eV/atom

=====

Record 6
Rb2BRuBr6 | PBE-GGA | relaxed

```
10
Lattice="-4.432 0.846 5.903 5.334 -2.726 4.396 2.308 3.839 5.859" Properties=species:S:1:pos:R:3 pbc="T T T"
Ru 0.000 0.000 0.000
B 0.451 -0.940 5.149
Br 1.388 1.471 5.507
Br 1.822 0.488 10.650
Br 0.220 -0.458 2.508
Br 0.682 -1.422 7.790
Br -2.054 -0.024 5.536
Br 2.955 -1.856 4.763
Rb -0.836 1.873 8.456
Rb 4.047 0.087 7.702
```

SG	I4/mmm (139)
volume	28.6	Å³ per atom
E	-32.6	eV for the cell shown
formation energy from raw total energies	-0.464	eV/atom

=====

Record 7
NaBr2F | PBE-GGA | relaxed

```
4
Lattice="0.000 3.540 3.540 3.540 0.000 3.540 3.540 3.540 0.000" Properties=species:S:1:pos:R:3 pbc="T T T"
Na 3.540 3.540 3.540
Br 1.770 1.770 1.770
Br 5.309 5.309 5.309
F 0.000 0.000 0.000
```

SG	Fm-3m (225)
volume	22.2	Å³ per atom
ΔE to the lowest computed polymorph	1.598	eV/f.u.
E	-8.7	eV for the cell shown
formation energy from raw total energies	-0.549	eV/atom

=====

Record 8
CsPmI4 | PBE-GGA | relaxed

```
12
Lattice="8.009 0.021 -1.325 -2.460 9.569 -4.311 0.061 -0.164 10.778" Properties=species:S:1:pos:R:3 pbc="T T T"
Cs 0.200 7.070 4.502
Cs 5.410 2.356 0.640
Pm 3.748 8.845 1.105
Pm 1.862 0.581 4.038
I 2.361 0.060 1.088
I 0.779 3.363 3.483
I 0.967 7.487 0.503
I 4.643 1.940 4.640
I 4.674 8.643 -1.936
I 4.831 6.063 1.660
I 0.936 0.783 7.078
I 3.250 9.366 4.055
```

SG	C2/c (15)
volume	68.4	Å³ per atom
ΔE to the lowest computed polymorph	0.000	eV/f.u.
E	-41.2	eV for the cell shown
formation energy from raw total energies	-1.469	eV/atom

=====

Record 9
La7Sm3Tm2 | PBE-GGA | relaxed

```
12
Lattice="3.586 0.000 0.000 0.000 6.507 0.804 0.000 2.521 18.277" Properties=species:S:1:pos:R:3 pbc="T T T"
La 1.793 2.780 9.489
La 1.793 6.247 9.592
La 0.000 4.052 3.545
La 0.000 0.000 0.000
La 0.000 4.975 15.536
La 1.793 8.274 15.893
La 1.793 0.754 3.188
Sm 1.793 3.253 0.402
Sm 0.000 1.621 6.247
Sm 0.000 7.407 12.834
Tm 1.793 4.812 6.535
Tm 1.793 4.216 12.547
```

SG	P2/m (10)
volume	34.9	Å³ per atom
E	-56.8	eV for the cell shown
ΔE_f	70	meV/atom

=====

Record 10
Sm3Co2P4 | PBE-GGA | relaxed

```
9
Lattice="3.951 0.000 0.000 -1.976 5.709 -0.484 0.000 -3.021 7.697" Properties=species:S:1:pos:R:3 pbc="T T T"
Sm 1.976 -0.701 5.377
Sm 0.000 0.000 0.000
Sm 0.000 3.389 1.835
Co 1.976 1.009 2.765
Co 0.000 1.679 4.448
P 1.976 1.854 0.661
P 0.000 0.833 6.551
P 1.976 2.717 4.228
P 0.000 -0.029 2.985
```

SG	C2/m (12)
volume	18.7	Å³ per atom
E	-59.7	eV for the cell shown
ΔE_f	-1076	meV/atom

=====

Record 11
TmAl4Au2 | PBE-GGA | relaxed

```
28
Lattice="4.306 0.000 0.000 0.000 6.919 0.000 0.000 0.000 17.201" Properties=species:S:1:pos:R:3 pbc="T T T"
Tm 3.230 6.794 11.033
Tm 1.077 0.125 6.168
Tm 1.077 3.335 14.769
Tm 3.230 3.585 2.433
Au 1.077 5.202 9.229
Au 3.230 1.718 7.972
Au 3.230 1.742 16.573
Au 1.077 5.178 0.629
Au 1.077 6.649 13.458
Au 3.230 0.271 3.744
Au 3.230 3.189 12.344
Au 1.077 3.730 4.857
Al 1.077 1.823 11.857
Al 3.230 5.097 5.345
Al 3.230 5.283 13.946
Al 1.077 1.637 3.256
Al 1.077 4.620 11.773
Al 3.230 2.300 5.429
Al 3.230 1.160 14.029
Al 1.077 5.759 3.172
Al 1.077 0.962 9.210
Al 3.230 5.957 7.991
Al 3.230 4.422 16.592
Al 1.077 2.497 0.609
Al 1.077 3.288 7.452
Al 3.230 3.632 9.749
Al 3.230 6.747 1.148
Al 1.077 0.172 16.053
```

SG	Pnma (62)
volume	18.3	Å³ per atom
ΔE to the lowest computed polymorph	0.000	eV/f.u.
E	-119.6	eV for the cell shown
ΔE_f	-557	meV/atom

=====

Record 12
YInIr2 | PBE-GGA | relaxed

```
4
Lattice="3.420 0.000 0.000 0.000 3.420 0.000 0.000 0.000 6.407" Properties=species:S:1:pos:R:3 pbc="T T T"
In 1.710 1.710 4.805
Ir 0.000 0.000 6.301
Ir 0.000 0.000 3.310
Y 1.710 1.710 1.602
```

SG	P4/mmm (123)
volume	18.7	Å³ per atom
E	-28.6	eV for the cell shown
ΔE_f	-426	meV/atom

=====

Question: Look up the volume of the twelfth one.
Answer: 18.7 Å³ per atom